Computed, not measured: a relaxed structure of FeHgSe4 at the PBE level of DFT. Values from VASP.

```
&SYSTEM
  ibrav = 0, nat = 6, ntyp = 3
/
ATOMIC_SPECIES
Fe 55.84 Fe.upf
Hg 200.59 Hg.upf
Se 78.96 Se.upf
ATOMIC_POSITIONS angstrom
Fe 6.1020 6.1020 6.1020
Hg 0.0000 0.0000 0.0000
Se 3.0509 5.0851 5.0851
Se 5.0851 5.0851 3.0509
Se 5.0851 3.0509 5.0851
Se 3.0509 3.0509 3.0509
CELL_PARAMETERS angstrom
0.0000 4.0680 4.0680
4.0680 0.0000 4.0680
4.0680 4.0680 0.0000
```

symmetry = F-43m, No. 216
calculated density = 7.1 g/cm3
density of states at the Fermi level = 1.321 states/eV per atom
ΔE_f (raw) = 0.76 eV per atom

=====

Computed, not measured: a relaxed structure of FeHg2Se at the PBE level of DFT. Values from VASP.

```
&SYSTEM
  ibrav = 0, nat = 4, ntyp = 3
/
ATOMIC_SPECIES
Fe 55.84 Fe.upf
Hg 200.59 Hg.upf
Se 78.96 Se.upf
ATOMIC_POSITIONS angstrom
Fe -0.5350 5.5898 2.1722
Hg 0.0000 0.0000 0.0000
Hg -0.2675 2.7949 1.0861
Se -0.8025 8.3847 3.2583
CELL_PARAMETERS angstrom
-1.1553 4.6463 -1.1154
-2.3059 2.8198 3.3013
2.3912 3.7135 2.1586
```

symmetry = F-43m, No. 216
calculated density = 10.6 g/cm3
density of states at the Fermi level = 1.294 states/eV per atom
ΔE_f (raw) = 0.51 eV per atom

=====

Computed, not measured: a relaxed structure of FeHgSe2 at the PBE level of DFT. Values from VASP.

```
&SYSTEM
  ibrav = 0, nat = 4, ntyp = 3
/
ATOMIC_SPECIES
Fe 55.84 Fe.upf
Hg 200.59 Hg.upf
Se 78.96 Se.upf
ATOMIC_POSITIONS angstrom
Fe 1.7541 2.3924 0.0000
Hg 1.7541 0.0000 2.3924
Se 0.0000 0.0000 0.0000
Se 0.0000 2.3924 2.3924
CELL_PARAMETERS angstrom
3.5082 0.0000 0.0000
0.0000 4.7848 0.0000
0.0000 0.0000 4.7848
```

symmetry = P4/mmm, No. 123
calculated density = 8.6 g/cm3
density of states at the Fermi level = 1.107 states/eV per atom
ΔE_f (raw) = 0.51 eV per atom

=====

Computed, not measured: a relaxed structure of FeHg2Se at the PBE level of DFT. Values from VASP.

```
&SYSTEM
  ibrav = 0, nat = 4, ntyp = 3
/
ATOMIC_SPECIES
Fe 55.84 Fe.upf
Hg 200.59 Hg.upf
Se 78.96 Se.upf
ATOMIC_POSITIONS angstrom
Fe 19.5348 3.5632 2.1029
Hg 0.1673 0.0305 0.0180
Hg 12.8559 2.3450 1.3839
Se 6.5116 1.1877 0.7010
CELL_PARAMETERS angstrom
9.0760 -0.0177 -0.0105
8.4852 3.2209 -0.0105
8.4852 1.5477 2.8247
```

symmetry = R-3m, No. 166
calculated density = 10.7 g/cm3
density of states at the Fermi level = 0.933 states/eV per atom
ΔE_f (raw) = 0.45 eV per atom